Computed, not measured: a relaxed structure of LiCaSm2Au4 at the GGA-PBE level of DFT.

- calculated formation energy (meV/atom) = -737
- uncorrected energy (eV/atom) = -4.045

abc: 5.0659 5.0659 24.6901
angles: 90.00 90.00 120.00
Space group R-3m (No. 166, hexagonal axes)
Unique sites:
Li: 0.0000 0.0000 0.0000
Ca: 0.0000 0.0000 0.5000
Sm: 0.0000 0.0000 0.2544
Au: 0.0000 0.0000 0.1234
Au: 0.0000 0.0000 0.3762

Computed, not measured: a relaxed structure of Li2CaSmAu4 at the GGA-PBE level of DFT.

- calculated formation energy (meV/atom) = -678
- uncorrected energy (eV/atom) = -3.635

abc: 4.6015 4.6015 28.0075
angles: 90.00 90.00 120.00
Space group R-3m (No. 166, hexagonal axes)
Unique sites:
Li: 0.0000 0.0000 0.2487
Ca: 0.0000 0.0000 0.5000
Sm: 0.0000 0.0000 0.0000
Au: 0.0000 0.0000 0.1086
Au: 0.0000 0.0000 0.3898

Computed, not measured: a relaxed structure of Li2CaSn2Au2 at the GGA-PBE level of DFT.

- calculated formation energy (meV/atom) = -599
- uncorrected energy (eV/atom) = -3.512

abc: 4.7502 4.7502 22.5709
angles: 90.00 90.00 120.00
Space group R-3m (No. 166, hexagonal axes)
Unique sites:
Li: 0.0000 0.0000 0.1409
Ca: 0.0000 0.0000 0.0000
Sn: 0.0000 0.0000 0.4276
Au: 0.0000 0.0000 0.2576